HoEr8Pb2, relaxed, DFT GGA-PBE; energy relative to the elements = -6 kJ/mol of atoms; spin magnetization = 0.01 μB per formula unit
1.0
-0.606 5.697 2.396
-8.183 0.055 -3.401
-8.051 -2.507 2.725
Ho Er Pb
1 8 2
direct
0.000 0.000 0.000 Ho
0.395 0.348 0.843 Er
0.605 0.157 0.652 Er
0.155 0.792 0.792 Er
0.845 0.208 0.208 Er
0.395 0.843 0.348 Er
0.605 0.652 0.157 Er
0.879 0.581 0.581 Er
0.121 0.419 0.419 Er
0.656 0.743 0.743 Pb
0.344 0.257 0.257 Pb

SnAuSCl2, relaxed, DFT GGA-PBE; polymorph energy (0 for the lowest one) = 0.00 eV per formula unit; spin magnetization = 0.00 μB per formula unit
1.0
-4.894 -0.093 0.827
0.608 -3.765 3.178
0.576 3.288 3.785
S Au Sn Cl
1 1 1 2
direct
0.000 0.000 0.500 S
0.000 0.000 0.000 Au
0.500 0.500 0.500 Sn
0.000 0.500 0.000 Cl
0.500 0.000 0.000 Cl

NaAc2Ga3Pd4, relaxed, DFT GGA-PBE; energy relative to the elements = -67 kJ/mol of atoms; spin magnetization = 0.00 μB per formula unit
1.0
-0.739 -3.907 1.924
4.123 0.000 1.584
-3.507 5.160 9.132
Na Ac Ga Pd
1 2 3 4
direct
0.500 0.500 0.500 Na
0.500 0.000 0.240 Ac
0.000 0.500 0.760 Ac
0.000 0.000 0.500 Ga
0.500 0.000 0.883 Ga
0.000 0.500 0.117 Ga
0.500 0.500 0.000 Pd
0.000 0.000 0.000 Pd
0.500 0.000 0.651 Pd
0.000 0.500 0.349 Pd

Ce2YCd, relaxed, DFT GGA-PBE; polymorph energy (0 for the lowest one) = 0.66 eV per formula unit; energy relative to the elements = 13 kJ/mol of atoms; spin magnetization = 0.00 μB per formula unit
1.0
3.205 0.000 0.000
1.602 2.775 0.000
1.602 0.925 12.138
Y Ce Cd
1 2 1
direct
0.000 0.000 0.000 Y
0.088 0.088 0.735 Ce
0.912 0.912 0.265 Ce
0.500 0.500 0.500 Cd

Sr2ZnP, relaxed, DFT GGA-PBE; polymorph energy (0 for the lowest one) = 1.02 eV per formula unit; energy relative to the elements = -38 kJ/mol of atoms; spin magnetization = 0.26 μB per formula unit
1.0
-3.179 -0.589 3.159
2.794 -2.701 2.308
2.195 4.946 3.132
Sr Zn P
2 1 1
direct
0.000 0.000 0.875 Sr
0.500 0.500 0.374 Sr
0.000 0.000 0.376 Zn
0.500 0.500 0.874 P

Nb2FeNiH, relaxed, DFT GGA-PBE; polymorph energy (0 for the lowest one) = 0.05 eV per formula unit; spin magnetization = 1.16 μB per formula unit
1.0
4.106 0.000 0.000
0.000 4.106 0.000
0.000 0.000 3.594
Ni Nb Fe H
1 2 1 1
direct
0.500 0.500 0.500 Ni
0.000 0.500 0.000 Nb
0.500 0.000 0.000 Nb
0.000 0.000 0.500 Fe
0.000 0.000 0.000 H

Question: spin magnetization of number 6 (Nb2FeNiH)?
Answer: 1.16 μB per formula unit

Question: Look up the spin magnetization of the first one.
Answer: 0.01 μB per formula unit

Question: Which value of spin magnetization does entry 5 give?
Answer: 0.26 μB per formula unit